An optimized crystal structure of Sr2CdS3. Source: Alexandria, functional PBE.

It has space group Pnma (No. 62), with a = 8.8782 Å, b = 4.1567 Å, c = 16.8425 Å, α = 90.00°, β = 90.00° and γ = 90.00°. The distinct sites, in fractional coordinates, are Sr at (0.1014, 0.2500, 0.2205), Sr at (0.2048, 0.2500, 0.9498), Cd at (0.0993, 0.2500, 0.6199), S at (0.0621, 0.2500, 0.4031), S at (0.1308, 0.7500, 0.0716) and S at (0.1576, 0.2500, 0.7710).

The formation energy without anion corrections is -1.5834 eV per atom. For the volume, the calculation gives 25.9 Å³ per atom.

***

An optimized crystal structure of SrCdS3. Source: Alexandria, functional PBE.

It has space group Pm-3m (No. 221), with a = 5.0095 Å, b = 5.0095 Å, c = 5.0095 Å, α = 90.00°, β = 90.00° and γ = 90.00°. The distinct sites, in fractional coordinates, are Sr at (0.0000, 0.0000, 0.0000), Cd at (0.5000, 0.5000, 0.5000) and S at (0.0000, 0.5000, 0.5000).

The formation energy without anion corrections is -0.5161 eV per atom. The calculation puts the energy above the lowest structure with this stoichiometry at 0.000 eV per atom. For the volume, the calculation gives 25.1 Å³ per atom.

***

An optimized crystal structure of Sr6Cd2S. Source: Alexandria, functional PBE.

It has space group P2_1/c (No. 14), with a = 7.5343 Å, b = 8.6888 Å, c = 13.3178 Å, α = 90.00°, β = 122.80° and γ = 90.00°. The distinct sites, in fractional coordinates, are Sr at (0.1158, 0.1793, 0.4426), Sr at (0.2849, 0.6901, 0.4413), Sr at (0.3746, 0.0323, 0.2485), Cd at (0.2001, 0.1077, 0.7488) and S at (0.5000, 0.0000, 0.5000).

The formation energy without anion corrections is -0.5783 eV per atom. For the volume, the calculation gives 40.7 Å³ per atom.

***

An optimized crystal structure of SrCdS3. Source: Alexandria, functional PBE.

It has space group Pm-3m (No. 221), with a = 5.5699 Å, b = 5.5699 Å, c = 5.5699 Å, α = 90.00°, β = 90.00° and γ = 90.00°. The distinct sites, in fractional coordinates, are Sr at (0.0000, 0.0000, 0.0000), Cd at (0.5000, 0.5000, 0.5000) and S at (0.0000, 0.0000, 0.5000).

The formation energy without anion corrections is 0.2246 eV per atom. The calculation puts the energy above the lowest structure with this stoichiometry at 0.741 eV per atom. For the volume, the calculation gives 34.6 Å³ per atom.

***

An optimized crystal structure of Sr2CdS. Source: Alexandria, functional PBE.

It has space group I-42d (No. 122), with a = 8.3223 Å, b = 8.3223 Å, c = 8.4305 Å, α = 90.00°, β = 90.00° and γ = 90.00°. The distinct sites, in fractional coordinates, are Sr at (0.2000, 0.2500, 0.1250), Cd at (0.0000, 0.0000, 0.5000) and S at (0.0000, 0.0000, 0.0000).

The formation energy without anion corrections is -0.8935 eV per atom. The calculation puts the energy above the lowest structure with this stoichiometry at 0.000 eV per atom. For the volume, the calculation gives 36.5 Å³ per atom.

***

An optimized crystal structure of Sr2CdS. Source: Alexandria, functional PBE.

It has space group Fm-3m (No. 225), with a = 7.8528 Å, b = 7.8528 Å, c = 7.8528 Å, α = 90.00°, β = 90.00° and γ = 90.00°. The distinct sites, in fractional coordinates, are Sr at (0.2500, 0.2500, 0.2500), Cd at (0.0000, 0.0000, 0.0000) and S at (0.0000, 0.0000, 0.5000).

The formation energy without anion corrections is -0.6809 eV per atom. The calculation puts the energy above the lowest structure with this stoichiometry at 0.213 eV per atom. For the volume, the calculation gives 30.3 Å³ per atom.

***

Question: What is the formation energy without anion corrections in the fifth record?
Answer: -0.8935 eV per atom